Entry 1:
TiNbI2N | GGA-PBE | relaxed

**Formation energy (no corrections)**: 0.487 eV per atom
**Total magnetic moment**: 1.20 μB/cell
**E**: -5.391 eV per atom

a = 5.7140 Å, b = 5.7140 Å, c = 3.9045 Å
α = 90.00°, β = 90.00°, γ = 90.00°
Last column: nearest neighbours and their distance in Å.
Atoms (fractional coordinates):
Ti (0.0000, 0.0000, 0.0000)  8 I 3.46
Nb (0.5000, 0.5000, 0.5000)  2 N 1.95
I (0.0000, 0.5000, 0.5000)  2 Nb 2.86
I (0.5000, 0.0000, 0.5000)  2 Nb 2.86
N (0.5000, 0.5000, 0.0000)  2 Nb 1.95



Entry 2:
TiNbIN2 | GGA-PBE | relaxed

**Formation energy (no corrections)**: 0.637 eV per atom
**Total magnetic moment**: 0.18 μB/cell
**E**: -6.596 eV per atom

a = 4.0691 Å, b = 4.0691 Å, c = 5.6101 Å
α = 90.00°, β = 90.00°, γ = 90.00°
Last column: nearest neighbours and their distance in Å.
Atoms (fractional coordinates):
Ti (0.0000, 0.0000, 0.0000)  4 I 2.88
Nb (0.5000, 0.5000, 0.5000)  4 N 2.03
I (0.5000, 0.5000, 0.0000)  2 Nb 2.81, 4 Ti 2.88
N (0.0000, 0.5000, 0.5000)  2 Nb 2.03
N (0.5000, 0.0000, 0.5000)  2 Nb 2.03



Entry 3:
TiNbI2N | GGA-PBE | relaxed

**Formation energy (no corrections)**: 0.405 eV per atom
**Total magnetic moment**: 3.12 μB/cell
**E**: -5.473 eV per atom

a = 5.6381 Å, b = 5.6381 Å, c = 3.7307 Å
α = 90.00°, β = 90.00°, γ = 90.00°
Last column: nearest neighbours and their distance in Å.
Atoms (fractional coordinates):
Ti (0.0000, 0.0000, 0.0000)  2 N 1.87
Nb (0.5000, 0.5000, 0.5000)  8 I 3.38, 2 Nb 3.73
I (0.0000, 0.5000, 0.0000)  2 Ti 2.82
I (0.5000, 0.0000, 0.0000)  2 Ti 2.82
N (0.0000, 0.0000, 0.5000)  2 Ti 1.87



Entry 4:
NbTlIN2 | GGA-PBE | relaxed

**Formation energy (no corrections)**: 0.409 eV per atom
**Total magnetic moment**: 0.79 μB/cell
**E**: -5.718 eV per atom

a = 4.2540 Å, b = 4.2540 Å, c = 5.8354 Å
α = 90.00°, β = 90.00°, γ = 90.00°
Last column: nearest neighbours and their distance in Å.
Atoms (fractional coordinates):
Nb (0.0000, 0.0000, 0.0000)  4 N 2.13
Tl (0.5000, 0.5000, 0.5000)  4 I 3.01
I (0.0000, 0.0000, 0.5000)  2 Nb 2.92, 4 Tl 3.01
N (0.0000, 0.5000, 0.0000)  2 Nb 2.13
N (0.5000, 0.0000, 0.0000)  2 Nb 2.13



Entry 5:
NbTlI2N | GGA-PBE | relaxed

**Formation energy (no corrections)**: -0.157 eV per atom
**Total magnetic moment**: 0.97 μB/cell
**E**: -4.930 eV per atom

a = 5.9632 Å, b = 5.9632 Å, c = 3.9950 Å
α = 90.00°, β = 90.00°, γ = 90.00°
Last column: nearest neighbours and their distance in Å.
Atoms (fractional coordinates):
Nb (0.0000, 0.0000, 0.0000)  2 N 2.00
Tl (0.5000, 0.5000, 0.5000)  8 I 3.59, 2 Tl 4.00
I (0.0000, 0.5000, 0.0000)  2 Nb 2.98
I (0.5000, 0.0000, 0.0000)  2 Nb 2.98
N (0.0000, 0.0000, 0.5000)  2 Nb 2.00



Entry 6:
NbTlIN2 | GGA-PBE | relaxed

**Formation energy (no corrections)**: 2.257 eV per atom
**Total magnetic moment**: 1.80 μB/cell
**E**: -3.870 eV per atom

a = 4.2502 Å, b = 4.2502 Å, c = 5.9846 Å
α = 90.00°, β = 90.00°, γ = 90.00°
Last column: nearest neighbours and their distance in Å.
Atoms (fractional coordinates):
Nb (0.0000, 0.0000, 0.0000)  4 I 3.01
Tl (0.5000, 0.5000, 0.5000)  4 N 2.13
I (0.5000, 0.5000, 0.0000)  2 Tl 2.99, 4 Nb 3.01
N (0.0000, 0.5000, 0.5000)  2 Tl 2.13
N (0.5000, 0.0000, 0.5000)  2 Tl 2.13



Entry 7:
NbTlI2N | GGA-PBE | relaxed

**Formation energy (no corrections)**: 1.430 eV per atom
**Total magnetic moment**: 3.67 μB/cell
**E**: -3.343 eV per atom

a = 6.1765 Å, b = 6.1765 Å, c = 3.9671 Å
α = 90.00°, β = 90.00°, γ = 90.00°
Last column: nearest neighbours and their distance in Å.
Atoms (fractional coordinates):
Nb (0.0000, 0.0000, 0.0000)  8 I 3.67, 2 Nb 3.97
Tl (0.5000, 0.5000, 0.5000)  2 N 1.98
I (0.0000, 0.5000, 0.5000)  2 Tl 3.09
I (0.5000, 0.0000, 0.5000)  2 Tl 3.09
N (0.5000, 0.5000, 0.0000)  2 Tl 1.98



Entry 8:
NbVIN2 | GGA-PBE | relaxed

**Formation energy (no corrections)**: 0.935 eV per atom
**Total magnetic moment**: 0.81 μB/cell
**E**: -6.542 eV per atom

a = 4.0552 Å, b = 4.0552 Å, c = 5.7216 Å
α = 90.00°, β = 90.00°, γ = 90.00°
Last column: nearest neighbours and their distance in Å.
Atoms (fractional coordinates):
Nb (0.0000, 0.0000, 0.0000)  4 N 2.03
V (0.5000, 0.5000, 0.5000)  4 I 2.87
I (0.0000, 0.0000, 0.5000)  2 Nb 2.86, 4 V 2.87
N (0.0000, 0.5000, 0.0000)  2 Nb 2.03
N (0.5000, 0.0000, 0.0000)  2 Nb 2.03